Density functional theory data (PBE-GGA) for a relaxed structure of Na5H7Se4O18.

## Properties
Energy relative to the lowest polymorph listed for this composition in meV per atom: 0
D(E_F) in states/eV/atom: 0.000

```
data_Na5H7Se4O18
_cell_length_a 18.256
_cell_length_b 13.404
_cell_length_c 7.234
_cell_angle_alpha 90.00
_cell_angle_beta 101.01
_cell_angle_gamma 90.00
_space_group_name_H-M_alt 'C 1 c 1'
_space_group_IT_number 9
loop_
_space_group_symop_operation_xyz
'x,y,z'
'x,-y,z+1/2'
'x+1/2,y+1/2,z'
'x+1/2,-y+1/2,z+1/2'
loop_
_atom_site_label
_atom_site_fract_x
_atom_site_fract_y
_atom_site_fract_z
_atom_site_occupancy
Na1 0.000 0.008 0.000 1
Na2 0.095 0.346 0.680 1
Na3 0.202 0.171 0.063 1
Na4 0.295 0.330 0.436 1
Na5 0.404 0.159 0.812 1
H1 0.017 0.182 0.271 1
H2 0.062 0.136 0.751 1
H3 0.205 0.492 0.812 1
H4 0.293 0.010 0.689 1
H5 0.438 0.365 0.748 1
H6 0.483 0.319 0.228 1
H7 0.490 0.025 0.477 1
Se1 0.096 0.374 0.202 1
Se2 0.190 0.111 0.577 1
Se3 0.309 0.390 0.921 1
Se4 0.401 0.131 0.289 1
O1 0.009 0.117 0.747 1
O2 0.042 0.317 0.334 1
O3 0.057 0.481 0.111 1
O4 0.108 0.299 0.027 1
O5 0.146 0.004 0.522 1
O6 0.152 0.181 0.724 1
O7 0.176 0.406 0.344 1
O8 0.207 0.178 0.398 1
O9 0.221 0.420 0.783 1
O10 0.278 0.082 0.718 1
O11 0.294 0.322 0.101 1
O12 0.322 0.094 0.150 1
O13 0.347 0.321 0.773 1
O14 0.353 0.497 0.977 1
O15 0.391 0.201 0.470 1
O16 0.438 0.017 0.377 1
O17 0.457 0.183 0.159 1
O18 0.491 0.382 0.753 1
```

=====

Density functional theory data (PBE-GGA) for a relaxed structure of Fe2PtSe.

## Properties
ΔE_f (raw) in eV/atom: 0.138
D(E_F) in states/eV/atom: 0.968

```
data_Fe2PtSe
_cell_length_a 2.8640
_cell_length_b 2.8640
_cell_length_c 24.1305
_cell_angle_alpha 90.00
_cell_angle_beta 90.00
_cell_angle_gamma 120.00
_space_group_name_H-M_alt 'R -3 m'
_space_group_IT_number 166
_space_group_name_Hall '-R 3 2"'
loop_
_atom_site_label
_atom_site_fract_x
_atom_site_fract_y
_atom_site_fract_z
_atom_site_occupancy
Fe1 0.0000 0.0000 0.2459 1
Pt1 0.0000 0.0000 0.0000 1
Se1 0.0000 0.0000 0.5000 1
```

=====

Density functional theory data (PBE-GGA) for a relaxed structure of SrLiDyPd.

## Properties
D(E_F) in states/eV/atom: 1.103
Energy relative to the elements in meV/atom: -243

```
data_SrLiDyPd
_cell_length_a 7.376
_cell_length_b 7.376
_cell_length_c 7.376
_cell_angle_alpha 90.00
_cell_angle_beta 90.00
_cell_angle_gamma 90.00
_space_group_name_H-M_alt 'F -4 3 m'
_space_group_IT_number 216
_space_group_name_Hall 'F -4 2 3'
loop_
_atom_site_label
_atom_site_fract_x
_atom_site_fract_y
_atom_site_fract_z
_atom_site_occupancy
Sr1 0.000 0.000 0.000 1
Li1 0.250 0.250 0.250 1
Dy1 0.000 0.000 0.500 1
Pd1 0.250 0.250 0.750 1
```